# ScSnAu2

A geometry-optimized ScSnAu2 structure (GGA-PBE, Alexandria via LeMat-Bulk).

Structure (POSCAR):
```
ScSnAu2
1.0
3.5751 0.0000 0.0000
0.0000 7.2567 0.0000
-1.7832 0.0000 6.4237
Sc Sn Au
2 2 4
Direct
0.0310 0.2500 0.0636
0.9690 0.7500 0.9364
0.2425 0.7500 0.4847
0.7575 0.2500 0.5153
0.3929 0.0411 0.7831
0.3929 0.4589 0.7831
0.6071 0.5411 0.2169
0.6071 0.9589 0.2169
```

Properties
symmetry: P2_1/m (11)
crystal system: monoclinic
mass density: 11.1 g/cm³
E_form: -578 meV per atom



# CsAs2IrBr

A geometry-optimized CsAs2IrBr structure (GGA-PBE, Alexandria via LeMat-Bulk).

Structure (POSCAR):
```
CsAs2IrBr
1.0
6.0715 0.0000 0.0000
0.0000 6.0715 0.0000
0.0000 0.0000 6.3489
Cs As Ir Br
1 2 1 1
Direct
0.0000 0.0000 0.0000
0.0000 0.5000 0.0000
0.5000 0.0000 0.0000
0.5000 0.5000 0.5000
0.0000 0.0000 0.5000
```

Properties
symmetry: P4/mmm (123)
crystal system: tetragonal
excess energy over the best structure of this formula in the dataset: 2363.2 meV per atom
mass density: 3.9 g/cm³
energy relative to the elements, uncorrected: 2202 meV/atom



# TiOsN3

A geometry-optimized TiOsN3 structure (GGA-PBE, Alexandria via LeMat-Bulk).

Structure (POSCAR):
```
TiOsN3
1.0
3.8289 0.0000 0.0000
0.0000 3.8289 0.0000
0.0000 0.0000 3.8289
Ti Os N
1 1 3
Direct
0.0000 0.0000 0.0000
0.5000 0.5000 0.5000
0.0000 0.0000 0.5000
0.0000 0.5000 0.0000
0.5000 0.0000 0.0000
```

Properties
symmetry: Pm-3m (221)
crystal system: cubic
mass density: 8.3 g/cm³
energy relative to the elements, uncorrected: 1312 meV/atom



# Al2Cu3Au7

A geometry-optimized Al2Cu3Au7 structure (GGA-PBE, Alexandria via LeMat-Bulk).

Structure (POSCAR):
```
Al2Cu3Au7
1.0
4.1891 0.0000 0.0000
-1.8753 4.4711 0.0000
-0.1873 -1.9990 10.6885
Al Cu Au
2 3 7
Direct
0.1079 0.2241 0.2777
0.8921 0.7759 0.7223
0.0000 0.0000 0.5000
0.4853 0.9500 0.1097
0.5147 0.0500 0.8903
0.1651 0.3181 0.0470
0.2104 0.4302 0.7783
0.4674 0.9325 0.3506
0.5000 0.5000 0.5000
0.5326 0.0675 0.6494
0.7896 0.5698 0.2217
0.8349 0.6819 0.9530
```

Properties
symmetry: P-1 (2)
crystal system: triclinic
mass density: 13.5 g/cm³
E_form: -138 meV per atom



# HfZn22

A geometry-optimized HfZn22 structure (GGA-PBE, Alexandria via LeMat-Bulk).

Structure (POSCAR):
```
HfZn22
1.0
0.0000 7.0543 7.0543
7.0543 0.0000 7.0543
7.0543 7.0543 0.0000
Hf Zn
2 44
Direct
0.1250 0.1250 0.1250
0.8750 0.8750 0.8750
0.0000 0.0000 0.0000
0.0000 0.0000 0.5000
0.0000 0.5000 0.0000
0.0000 0.5000 0.5000
0.0579 0.3189 0.3189
0.0579 0.3189 0.8042
0.0579 0.8042 0.3189
0.1958 0.6811 0.6811
0.1958 0.6811 0.9421
0.1958 0.9421 0.6811
0.2360 0.2360 0.5140
0.2360 0.5140 0.2360
0.2360 0.5140 0.5140
0.3189 0.0579 0.3189
0.3189 0.0579 0.8042
0.3189 0.3189 0.0579
0.3189 0.3189 0.8042
0.3189 0.8042 0.0579
0.3189 0.8042 0.3189
0.4860 0.4860 0.7640
0.4860 0.7640 0.4860
0.4860 0.7640 0.7640
0.5000 0.0000 0.0000
0.5000 0.0000 0.5000
0.5000 0.5000 0.0000
0.5000 0.5000 0.5000
0.5140 0.2360 0.2360
0.5140 0.2360 0.5140
0.5140 0.5140 0.2360
0.6811 0.1958 0.6811
0.6811 0.1958 0.9421
0.6811 0.6811 0.1958
0.6811 0.6811 0.9421
0.6811 0.9421 0.1958
0.6811 0.9421 0.6811
0.7640 0.4860 0.4860
0.7640 0.4860 0.7640
0.7640 0.7640 0.4860
0.8042 0.0579 0.3189
0.8042 0.3189 0.0579
0.8042 0.3189 0.3189
0.9421 0.1958 0.6811
0.9421 0.6811 0.1958
0.9421 0.6811 0.6811
```

Properties
symmetry: Fd-3m (227)
crystal system: cubic
mass density: 7.7 g/cm³
E_form: -36 meV per atom



# SbCl

A geometry-optimized SbCl structure (GGA-PBE, Alexandria via LeMat-Bulk).

Structure (POSCAR):
```
SbCl
1.0
1.6733 0.9661 4.9191
-1.6733 0.9661 4.9191
0.0000 -1.9322 4.9191
Sb Cl
1 1
Direct
0.0000 0.0000 0.0000
0.5000 0.5000 0.5000
```

Properties
symmetry: R-3m (166)
crystal system: trigonal
excess energy over the best structure of this formula in the dataset: 354.4 meV per atom
mass density: 5.5 g/cm³
energy relative to the elements, uncorrected: -121 meV/atom



# TaCoTc2C

A geometry-optimized TaCoTc2C structure (GGA-PBE, Alexandria via LeMat-Bulk).

Structure (POSCAR):
```
TaCoTc2C
1.0
4.1221 0.0000 0.0000
0.0000 4.1221 0.0000
0.0000 0.0000 3.7522
Ta Co Tc C
1 1 2 1
Direct
0.0000 0.0000 0.0000
0.5000 0.5000 0.0000
0.0000 0.5000 0.5000
0.5000 0.0000 0.5000
0.5000 0.5000 0.5000
```

Properties
symmetry: P4/mmm (123)
crystal system: tetragonal
mass density: 11.7 g/cm³
E_form: -156 meV per atom



# Tb6Sm3In

A geometry-optimized Tb6Sm3In structure (GGA-PBE, Alexandria via LeMat-Bulk).

Structure (POSCAR):
```
Tb6Sm3In
1.0
12.9648 0.0000 0.0000
0.0000 3.5622 0.0000
-4.6235 0.0000 13.8194
Tb Sm In
12 6 2
Direct
0.1147 0.2500 0.2104
0.1654 0.7500 0.7833
0.2497 0.2500 0.6099
0.2821 0.7500 0.4012
0.3581 0.7500 0.1906
0.3649 0.2500 0.9766
0.6351 0.7500 0.0234
0.6419 0.2500 0.8094
0.7179 0.2500 0.5988
0.7503 0.7500 0.3901
0.8346 0.2500 0.2167
0.8853 0.7500 0.7896
0.0335 0.7500 0.4082
0.1231 0.7500 0.0022
0.4905 0.7500 0.6034
0.5095 0.2500 0.3966
0.8769 0.2500 0.9978
0.9665 0.2500 0.5918
0.4220 0.7500 0.8046
0.5780 0.2500 0.1954
```

Properties
symmetry: P2_1/m (11)
crystal system: monoclinic
excess energy over the best structure of this formula in the dataset: 0.0 meV per atom
mass density: 7.9 g/cm³
E_form: -31 meV per atom